PBE-GGA CdSnBi2, optimized geometry; total DFT energy (no corrections) = -12.2 eV/cell; D(E_F) = 1.11 states/eV/f.u.; ΔH_f (0 K) = 0.108 eV/atom
1.0
3.4191 0.0000 0.0000
1.7095 2.9610 0.0000
1.7095 0.9870 11.9840
Bi Sn Cd
2 1 1
Direct
0.9155 0.9155 0.2536
0.0845 0.0845 0.7464
0.5000 0.5000 0.5000
0.0000 0.0000 0.0000